[1]
A relaxed RbO3 crystal. Source: Alexandria, functional GGA-PBE.

a = 6.061 Å, b = 5.818 Å, c = 5.818 Å
α = 108.49°, β = 90.00°, γ = 90.00°
Last column: magnetic moment on the atom in μB.
Atoms (fractional coordinates):
Rb 0.250 0.344 0.656  0.00
Rb 0.750 0.656 0.344  0.00
O 0.250 0.723 0.277  0.32
O 0.750 0.277 0.723  0.32
O 0.250 0.812 0.526  0.24
O 0.750 0.188 0.474  0.24
O 0.750 0.526 0.812  0.24
O 0.250 0.474 0.188  0.24

- E above lowest polymorph (eV per atom) = 0.015
- energy (eV per formula unit) = -18.3
- symmetry = Cmcm
- energy relative to the elements, uncorrected (meV per atom) = -615



[2]
A relaxed RbO crystal. Source: Alexandria, functional GGA-PBE.

a = 5.070 Å, b = 5.070 Å, c = 5.581 Å
α = 90.00°, β = 90.00°, γ = 120.00°
Last column: magnetic moment on the atom in μB.
Atoms (fractional coordinates):
Rb 0.333 0.667 0.750  0.02
Rb 0.667 0.333 0.250  0.02
O 0.333 0.667 0.250  0.75
O 0.667 0.333 0.750  0.75

- energy (eV per formula unit) = -7.0
- symmetry = P6_3/mmc
- energy relative to the elements, uncorrected (meV per atom) = -543



[3]
A relaxed Rb6O crystal. Source: Alexandria, functional GGA-PBE.

a = 8.165 Å, b = 14.139 Å, c = 15.755 Å
α = 90.00°, β = 90.00°, γ = 90.00°
Atoms (fractional coordinates):
Rb 0.843 0.250 0.505
Rb 0.157 0.750 0.495
Rb 0.343 0.750 0.995
Rb 0.657 0.250 0.005
Rb 0.365 0.250 0.737
Rb 0.635 0.750 0.263
Rb 0.865 0.750 0.763
Rb 0.135 0.250 0.237
Rb 0.264 0.392 0.527
Rb 0.736 0.608 0.473
Rb 0.764 0.608 0.973
Rb 0.736 0.892 0.473
Rb 0.236 0.392 0.027
Rb 0.264 0.108 0.527
Rb 0.236 0.108 0.027
Rb 0.764 0.892 0.973
Rb 0.942 0.391 0.720
Rb 0.058 0.609 0.280
Rb 0.442 0.609 0.780
Rb 0.058 0.891 0.280
Rb 0.558 0.391 0.220
Rb 0.942 0.109 0.720
Rb 0.558 0.109 0.220
Rb 0.442 0.891 0.780
O 0.103 0.250 0.623
O 0.897 0.750 0.377
O 0.603 0.750 0.877
O 0.397 0.250 0.123

- E above lowest polymorph (eV per atom) = 0.007
- energy (eV per formula unit) = -13.7
- symmetry = Pnma
- energy relative to the elements, uncorrected (meV per atom) = -417